# NdYRh2

Crystalline NdYRh2 at its relaxed geometry (GGA-PBE, Alexandria).

Summary:
Fermi-level density of states = 2.98 states/eV/f.u.
magnetic moment = 0.00 μB per formula unit
calculated formation energy = -728 meV/atom
crystal system = tetragonal

a = 4.905 Å, b = 4.905 Å, c = 3.538 Å
α = 90.00°, β = 90.00°, γ = 90.00°
Fractional coordinates of all 4 atoms:
Nd (0.000, 0.000, 0.000)
Y (0.500, 0.500, 0.000)
Rh (0.000, 0.500, 0.500)
Rh (0.500, 0.000, 0.500)

# Nd12YRh7

Crystalline Nd12YRh7 at its relaxed geometry (GGA-PBE, Alexandria).

Summary:
Fermi-level density of states = 17.76 states/eV/f.u.
magnetic moment = 0.00 μB per formula unit
calculated formation energy = -468 meV/atom
crystal system = trigonal

a = 9.017 Å, b = 9.017 Å, c = 9.017 Å
α = 107.11°, β = 107.11°, γ = 107.11°
Fractional coordinates of all 20 atoms:
Nd (0.041, 0.344, 0.121)
Nd (0.121, 0.041, 0.344)
Nd (0.191, 0.724, 0.576)
Nd (0.276, 0.424, 0.809)
Nd (0.344, 0.121, 0.041)
Nd (0.424, 0.809, 0.276)
Nd (0.576, 0.191, 0.724)
Nd (0.656, 0.879, 0.959)
Nd (0.724, 0.576, 0.191)
Nd (0.809, 0.276, 0.424)
Nd (0.879, 0.959, 0.656)
Nd (0.959, 0.656, 0.879)
Y (0.500, 0.500, 0.500)
Rh (0.000, 0.000, 0.000)
Rh (0.149, 0.380, 0.465)
Rh (0.380, 0.465, 0.149)
Rh (0.465, 0.149, 0.380)
Rh (0.535, 0.851, 0.620)
Rh (0.620, 0.535, 0.851)
Rh (0.851, 0.620, 0.535)

# NdY2Rh3

Crystalline NdY2Rh3 at its relaxed geometry (GGA-PBE, Alexandria).

Summary:
energy above the lowest structure with this stoichiometry = 3 meV/atom
Fermi-level density of states = 4.28 states/eV/f.u.
magnetic moment = 0.00 μB per formula unit
calculated formation energy = -765 meV/atom
crystal system = tetragonal

a = 3.468 Å, b = 3.468 Å, c = 10.456 Å
α = 90.00°, β = 90.00°, γ = 90.00°
Fractional coordinates of all 6 atoms:
Nd (0.000, 0.000, 0.000)
Y (0.000, 0.000, 0.336)
Y (0.000, 0.000, 0.664)
Rh (0.500, 0.500, 0.175)
Rh (0.500, 0.500, 0.500)
Rh (0.500, 0.500, 0.825)

# Nd2YRh9

Crystalline Nd2YRh9 at its relaxed geometry (GGA-PBE, Alexandria).

Summary:
Fermi-level density of states = 11.93 states/eV/f.u.
magnetic moment = 0.00 μB per formula unit
calculated formation energy = -511 meV/atom
crystal system = trigonal

a = 9.402 Å, b = 9.402 Å, c = 9.402 Å
α = 32.71°, β = 32.71°, γ = 32.71°
Fractional coordinates of all 12 atoms:
Nd (0.139, 0.139, 0.139)
Nd (0.861, 0.861, 0.861)
Y (0.000, 0.000, 0.000)
Rh (0.082, 0.581, 0.581)
Rh (0.333, 0.333, 0.333)
Rh (0.419, 0.419, 0.918)
Rh (0.419, 0.918, 0.419)
Rh (0.500, 0.500, 0.500)
Rh (0.581, 0.082, 0.581)
Rh (0.581, 0.581, 0.082)
Rh (0.667, 0.667, 0.667)
Rh (0.918, 0.419, 0.419)

# Nd3YRh4

Crystalline Nd3YRh4 at its relaxed geometry (GGA-PBE, Alexandria).

Summary:
Fermi-level density of states = 5.70 states/eV/f.u.
magnetic moment = 0.00 μB per formula unit
calculated formation energy = -682 meV/atom
crystal system = orthorhombic

a = 3.442 Å, b = 5.022 Å, c = 10.066 Å
α = 90.00°, β = 90.00°, γ = 90.00°
Fractional coordinates of all 8 atoms:
Nd (0.000, 0.000, 0.000)
Nd (0.000, 0.500, 0.253)
Nd (0.000, 0.500, 0.747)
Y (0.000, 0.000, 0.500)
Rh (0.500, 0.000, 0.257)
Rh (0.500, 0.000, 0.743)
Rh (0.500, 0.500, 0.000)
Rh (0.500, 0.500, 0.500)

# Nd4YRh5

Crystalline Nd4YRh5 at its relaxed geometry (GGA-PBE, Alexandria).

Summary:
Fermi-level density of states = 7.84 states/eV/f.u.
magnetic moment = 0.00 μB per formula unit
calculated formation energy = -668 meV/atom
crystal system = tetragonal

a = 3.559 Å, b = 3.559 Å, c = 17.247 Å
α = 90.00°, β = 90.00°, γ = 90.00°
Fractional coordinates of all 10 atoms:
Nd (0.000, 0.000, 0.101)
Nd (0.000, 0.000, 0.303)
Nd (0.000, 0.000, 0.697)
Nd (0.000, 0.000, 0.899)
Y (0.000, 0.000, 0.500)
Rh (0.500, 0.500, 0.000)
Rh (0.500, 0.500, 0.202)
Rh (0.500, 0.500, 0.405)
Rh (0.500, 0.500, 0.595)
Rh (0.500, 0.500, 0.798)

# NdYRh

Crystalline NdYRh at its relaxed geometry (GGA-PBE, Alexandria).

Summary:
energy above the lowest structure with this stoichiometry = 55 meV/atom
Fermi-level density of states = 2.84 states/eV/f.u.
magnetic moment = 0.00 μB per formula unit
calculated formation energy = -457 meV/atom
crystal system = trigonal

a = 4.079 Å, b = 4.079 Å, c = 6.321 Å
α = 90.00°, β = 90.00°, γ = 120.00°
Fractional coordinates of all 3 atoms:
Nd (0.000, 0.000, 0.000)
Y (0.667, 0.333, 0.478)
Rh (0.333, 0.667, 0.246)

# Nd2YRh2

Crystalline Nd2YRh2 at its relaxed geometry (GGA-PBE, Alexandria).

Summary:
energy above the lowest structure with this stoichiometry = 0 meV/atom
Fermi-level density of states = 4.19 states/eV/f.u.
magnetic moment = 0.00 μB per formula unit
calculated formation energy = -608 meV/atom
crystal system = monoclinic

a = 6.835 Å, b = 6.835 Å, c = 11.459 Å
α = 118.20°, β = 118.20°, γ = 33.09°
Fractional coordinates of all 10 atoms:
Nd (0.043, 0.043, 0.191)
Nd (0.159, 0.159, 0.573)
Nd (0.841, 0.841, 0.427)
Nd (0.957, 0.957, 0.809)
Y (0.294, 0.294, 0.138)
Y (0.706, 0.706, 0.862)
Rh (0.378, 0.378, 0.945)
Rh (0.490, 0.490, 0.622)
Rh (0.510, 0.510, 0.378)
Rh (0.622, 0.622, 0.055)

# Nd8Zn2Rh

Crystalline Nd8Zn2Rh at its relaxed geometry (GGA-PBE, Alexandria).

Summary:
Fermi-level density of states = 10.71 states/eV/f.u.
magnetic moment = 0.00 μB per formula unit
calculated formation energy = -213 meV/atom
crystal system = monoclinic

a = 9.445 Å, b = 9.445 Å, c = 6.885 Å
α = 100.43°, β = 100.43°, γ = 32.11°
Fractional coordinates of all 11 atoms:
Nd (0.028, 0.028, 0.280)
Nd (0.201, 0.201, 0.818)
Nd (0.344, 0.344, 0.541)
Nd (0.411, 0.411, 0.061)
Nd (0.589, 0.589, 0.939)
Nd (0.656, 0.656, 0.459)
Nd (0.799, 0.799, 0.182)
Nd (0.972, 0.972, 0.720)
Zn (0.195, 0.195, 0.245)
Zn (0.805, 0.805, 0.755)
Rh (0.500, 0.500, 0.500)

# Nd3Zn8Rh

Crystalline Nd3Zn8Rh at its relaxed geometry (GGA-PBE, Alexandria).

Summary:
Fermi-level density of states = 8.41 states/eV/f.u.
magnetic moment = 0.00 μB per formula unit
calculated formation energy = -302 meV/atom
crystal system = trigonal

a = 9.754 Å, b = 9.754 Å, c = 9.754 Å
α = 31.84°, β = 31.84°, γ = 31.84°
Fractional coordinates of all 12 atoms:
Nd (0.000, 0.000, 0.000)
Nd (0.127, 0.127, 0.127)
Nd (0.516, 0.516, 0.516)
Zn (0.061, 0.567, 0.567)
Zn (0.073, 0.073, 0.569)
Zn (0.073, 0.569, 0.073)
Zn (0.317, 0.317, 0.317)
Zn (0.567, 0.061, 0.567)
Zn (0.567, 0.567, 0.061)
Zn (0.569, 0.073, 0.073)
Zn (0.820, 0.820, 0.820)
Rh (0.618, 0.618, 0.618)

# Nd2Zn2Rh

Crystalline Nd2Zn2Rh at its relaxed geometry (GGA-PBE, Alexandria).

Summary:
energy above the lowest structure with this stoichiometry = 8 meV/atom
Fermi-level density of states = 3.52 states/eV/f.u.
magnetic moment = 0.00 μB per formula unit
calculated formation energy = -492 meV/atom
crystal system = monoclinic

a = 5.953 Å, b = 5.953 Å, c = 11.737 Å
α = 115.08°, β = 115.08°, γ = 39.23°
Fractional coordinates of all 10 atoms:
Nd (0.068, 0.068, 0.358)
Nd (0.207, 0.207, 0.118)
Nd (0.793, 0.793, 0.882)
Nd (0.932, 0.932, 0.642)
Zn (0.378, 0.378, 0.416)
Zn (0.487, 0.487, 0.113)
Zn (0.513, 0.513, 0.887)
Zn (0.622, 0.622, 0.584)
Rh (0.274, 0.274, 0.693)
Rh (0.726, 0.726, 0.307)

# NdZn3Rh

Crystalline NdZn3Rh at its relaxed geometry (GGA-PBE, Alexandria).

Summary:
Fermi-level density of states = 2.70 states/eV/f.u.
magnetic moment = 0.00 μB per formula unit
calculated formation energy = -327 meV/atom
crystal system = orthorhombic

a = 6.715 Å, b = 6.715 Å, c = 6.715 Å
α = 136.38°, β = 104.08°, γ = 91.88°
Fractional coordinates of all 10 atoms:
Nd (0.269, 0.019, 0.250)
Nd (0.731, 0.981, 0.750)
Zn (0.077, 0.327, 0.750)
Zn (0.261, 0.000, 0.761)
Zn (0.261, 0.500, 0.261)
Zn (0.739, 0.000, 0.239)
Zn (0.739, 0.500, 0.739)
Zn (0.923, 0.673, 0.250)
Rh (0.000, 0.500, 0.500)
Rh (0.500, 0.500, 0.000)

# NdZn2Rh2

Crystalline NdZn2Rh2 at its relaxed geometry (GGA-PBE, Alexandria).

Summary:
energy above the lowest structure with this stoichiometry = 151 meV/atom
Fermi-level density of states = 3.98 states/eV/f.u.
magnetic moment = 0.00 μB per formula unit
calculated formation energy = -359 meV/atom
crystal system = monoclinic

a = 5.683 Å, b = 5.683 Å, c = 7.351 Å
α = 101.10°, β = 101.10°, γ = 119.98°
Fractional coordinates of all 10 atoms:
Nd (0.125, 0.875, 0.750)
Nd (0.875, 0.125, 0.250)
Zn (0.274, 0.524, 0.048)
Zn (0.476, 0.726, 0.452)
Zn (0.524, 0.274, 0.548)
Zn (0.726, 0.476, 0.952)
Rh (0.160, 0.840, 0.250)
Rh (0.410, 0.590, 0.750)
Rh (0.590, 0.410, 0.250)
Rh (0.840, 0.160, 0.750)

# NdZn2Rh

Crystalline NdZn2Rh at its relaxed geometry (GGA-PBE, Alexandria).

Summary:
Fermi-level density of states = 3.05 states/eV/f.u.
magnetic moment = 0.00 μB per formula unit
calculated formation energy = -410 meV/atom
crystal system = trigonal

a = 4.303 Å, b = 4.303 Å, c = 15.069 Å
α = 90.00°, β = 90.00°, γ = 120.00°
Fractional coordinates of all 12 atoms:
Nd (0.000, 0.000, 0.000)
Nd (0.333, 0.667, 0.667)
Nd (0.667, 0.333, 0.333)
Zn (0.000, 0.000, 0.209)
Zn (0.000, 0.000, 0.791)
Zn (0.333, 0.667, 0.458)
Zn (0.333, 0.667, 0.875)
Zn (0.667, 0.333, 0.125)
Zn (0.667, 0.333, 0.542)
Rh (0.000, 0.000, 0.500)
Rh (0.333, 0.667, 0.167)
Rh (0.667, 0.333, 0.833)

# Nd3ZnRh8

Crystalline Nd3ZnRh8 at its relaxed geometry (GGA-PBE, Alexandria).

Summary:
Fermi-level density of states = 10.91 states/eV/f.u.
magnetic moment = 0.00 μB per formula unit
calculated formation energy = -502 meV/atom
crystal system = trigonal

a = 9.286 Å, b = 9.286 Å, c = 9.286 Å
α = 33.51°, β = 33.51°, γ = 33.51°
Fractional coordinates of all 12 atoms:
Nd (0.000, 0.000, 0.000)
Nd (0.129, 0.129, 0.129)
Nd (0.512, 0.512, 0.512)
Zn (0.638, 0.638, 0.638)
Rh (0.065, 0.566, 0.566)
Rh (0.069, 0.069, 0.568)
Rh (0.069, 0.568, 0.069)
Rh (0.317, 0.317, 0.317)
Rh (0.566, 0.065, 0.566)
Rh (0.566, 0.566, 0.065)
Rh (0.568, 0.069, 0.069)
Rh (0.817, 0.817, 0.817)

# Nd2Zn16Rh

Crystalline Nd2Zn16Rh at its relaxed geometry (GGA-PBE, Alexandria).

Summary:
Fermi-level density of states = 7.75 states/eV/f.u.
magnetic moment = 0.00 μB per formula unit
calculated formation energy = -289 meV/atom
crystal system = trigonal

a = 6.837 Å, b = 6.837 Å, c = 6.837 Å
α = 82.72°, β = 82.72°, γ = 82.72°
Fractional coordinates of all 19 atoms:
Nd (0.000, 0.000, 0.000)
Nd (0.329, 0.329, 0.329)
Zn (0.016, 0.016, 0.514)
Zn (0.016, 0.514, 0.016)
Zn (0.162, 0.673, 0.673)
Zn (0.316, 0.316, 0.828)
Zn (0.316, 0.828, 0.316)
Zn (0.383, 0.670, 0.956)
Zn (0.383, 0.956, 0.670)
Zn (0.514, 0.016, 0.016)
Zn (0.567, 0.567, 0.567)
Zn (0.670, 0.383, 0.956)
Zn (0.670, 0.956, 0.383)
Zn (0.673, 0.162, 0.673)
Zn (0.673, 0.673, 0.162)
Zn (0.828, 0.316, 0.316)
Zn (0.956, 0.383, 0.670)
Zn (0.956, 0.670, 0.383)
Rh (0.766, 0.766, 0.766)

# Nd2Zn3Rh4

Crystalline Nd2Zn3Rh4 at its relaxed geometry (GGA-PBE, Alexandria).

Summary:
Fermi-level density of states = 5.25 states/eV/f.u.
magnetic moment = 0.00 μB per formula unit
calculated formation energy = -567 meV/atom
crystal system = orthorhombic

a = 8.295 Å, b = 8.295 Å, c = 7.329 Å
α = 90.00°, β = 90.00°, γ = 140.14°
Fractional coordinates of all 18 atoms:
Nd (0.105, 0.895, 0.911)
Nd (0.395, 0.605, 0.411)
Nd (0.605, 0.395, 0.589)
Nd (0.895, 0.105, 0.089)
Zn (0.000, 0.000, 0.500)
Zn (0.016, 0.484, 0.750)
Zn (0.484, 0.016, 0.250)
Zn (0.500, 0.500, 0.000)
Zn (0.516, 0.984, 0.750)
Zn (0.984, 0.516, 0.250)
Rh (0.171, 0.829, 0.515)
Rh (0.181, 0.319, 0.750)
Rh (0.319, 0.181, 0.250)
Rh (0.329, 0.671, 0.015)
Rh (0.671, 0.329, 0.985)
Rh (0.681, 0.819, 0.750)
Rh (0.819, 0.681, 0.250)
Rh (0.829, 0.171, 0.485)

# Nd3Zn3Rh

Crystalline Nd3Zn3Rh at its relaxed geometry (GGA-PBE, Alexandria).

Summary:
Fermi-level density of states = 4.88 states/eV/f.u.
magnetic moment = 0.00 μB per formula unit
calculated formation energy = -428 meV/atom
crystal system = orthorhombic

a = 3.856 Å, b = 4.507 Å, c = 19.281 Å
α = 90.00°, β = 90.00°, γ = 90.00°
Fractional coordinates of all 14 atoms:
Nd (0.000, 0.000, 0.000)
Nd (0.000, 0.000, 0.370)
Nd (0.000, 0.500, 0.198)
Nd (0.500, 0.000, 0.698)
Nd (0.500, 0.500, 0.500)
Nd (0.500, 0.500, 0.870)
Zn (0.000, 0.000, 0.553)
Zn (0.000, 0.000, 0.829)
Zn (0.000, 0.500, 0.625)
Zn (0.500, 0.000, 0.125)
Zn (0.500, 0.500, 0.053)
Zn (0.500, 0.500, 0.329)
Rh (0.000, 0.500, 0.760)
Rh (0.500, 0.000, 0.260)

# NdZn12Rh6

Crystalline NdZn12Rh6 at its relaxed geometry (GGA-PBE, Alexandria).

Summary:
Fermi-level density of states = 12.72 states/eV/f.u.
magnetic moment = 0.00 μB per formula unit
calculated formation energy = -203 meV/atom
crystal system = trigonal

a = 7.081 Å, b = 7.081 Å, c = 7.081 Å
α = 104.04°, β = 104.04°, γ = 104.04°
Fractional coordinates of all 19 atoms:
Nd (0.000, 0.000, 0.000)
Zn (0.112, 0.500, 0.888)
Zn (0.112, 0.888, 0.500)
Zn (0.144, 0.405, 0.405)
Zn (0.405, 0.144, 0.405)
Zn (0.405, 0.405, 0.144)
Zn (0.500, 0.112, 0.888)
Zn (0.500, 0.888, 0.112)
Zn (0.595, 0.595, 0.856)
Zn (0.595, 0.856, 0.595)
Zn (0.856, 0.595, 0.595)
Zn (0.888, 0.112, 0.500)
Zn (0.888, 0.500, 0.112)
Rh (0.269, 0.269, 0.703)
Rh (0.269, 0.703, 0.269)
Rh (0.297, 0.731, 0.731)
Rh (0.703, 0.269, 0.269)
Rh (0.731, 0.297, 0.731)
Rh (0.731, 0.731, 0.297)

# Nd2ZnRh2

Crystalline Nd2ZnRh2 at its relaxed geometry (GGA-PBE, Alexandria).

Summary:
Fermi-level density of states = 3.06 states/eV/f.u.
magnetic moment = 0.00 μB per formula unit
calculated formation energy = -662 meV/atom
crystal system = monoclinic

a = 5.814 Å, b = 5.814 Å, c = 7.948 Å
α = 104.44°, β = 104.44°, γ = 56.95°
Fractional coordinates of all 10 atoms:
Nd (0.002, 0.705, 0.851)
Nd (0.295, 0.998, 0.649)
Nd (0.705, 0.002, 0.351)
Nd (0.998, 0.295, 0.149)
Zn (0.361, 0.639, 0.250)
Zn (0.639, 0.361, 0.750)
Rh (0.224, 0.509, 0.487)
Rh (0.491, 0.776, 0.013)
Rh (0.509, 0.224, 0.987)
Rh (0.776, 0.491, 0.513)

# Nd3ZnRh3

Crystalline Nd3ZnRh3 at its relaxed geometry (GGA-PBE, Alexandria).

Summary:
Fermi-level density of states = 6.01 states/eV/f.u.
magnetic moment = 0.00 μB per formula unit
calculated formation energy = -676 meV/atom
crystal system = orthorhombic

a = 5.658 Å, b = 5.658 Å, c = 14.026 Å
α = 90.00°, β = 90.00°, γ = 136.52°
Fractional coordinates of all 14 atoms:
Nd (0.023, 0.977, 0.750)
Nd (0.300, 0.700, 0.604)
Nd (0.300, 0.700, 0.896)
Nd (0.700, 0.300, 0.104)
Nd (0.700, 0.300, 0.396)
Nd (0.977, 0.023, 0.250)
Zn (0.000, 0.000, 0.000)
Zn (0.000, 0.000, 0.500)
Rh (0.255, 0.745, 0.250)
Rh (0.414, 0.586, 0.089)
Rh (0.414, 0.586, 0.411)
Rh (0.586, 0.414, 0.589)
Rh (0.586, 0.414, 0.911)
Rh (0.745, 0.255, 0.750)

| no. | final energy (eV/atom) |
| --- | --- |
| 1 | -7.212 |
| 2 | -6.225 |
| 3 | -7.390 |
| 4 | -7.358 |
| 5 | -6.953 |
| 6 | -6.897 |
| 7 | -6.652 |
| 8 | -6.748 |
| 9 | -4.581 |
| 10 | -2.955 |
| 11 | -4.379 |
| 12 | -3.515 |
| 13 | -4.762 |
| 14 | -4.077 |
| 15 | -6.701 |
| 16 | -2.250 |
| 17 | -5.318 |
| 18 | -4.068 |
| 19 | -3.581 |
| 20 | -5.765 |
| 21 | -6.052 |